## CsVSbO4 (PBE with a Hubbard U)

Data for a relaxed CsVSbO4 crystal.

final energy: -88.49 eV for the cell shown

```
data_CsVSbO4
_cell_length_a 6.7662
_cell_length_b 5.9715
_cell_length_c 9.0572
_cell_angle_alpha 90.00
_cell_angle_beta 109.60
_cell_angle_gamma 90.00
_space_group_name_H-M_alt 'P 1 21/m 1'
_space_group_IT_number 11
loop_
_space_group_symop_operation_xyz
'x,y,z'
'-x,-y,-z'
'-x,y+1/2,-z'
'x,-y+1/2,z'
loop_
_atom_site_label
_atom_site_fract_x
_atom_site_fract_y
_atom_site_fract_z
Cs1 0.2366 0.2500 0.4948
V1 0.4695 0.7500 0.7939
Sb1 0.2687 0.7500 0.0920
O1 0.2307 0.7500 0.6520
O2 0.3780 0.5022 0.2418
O3 0.4967 0.2500 0.9952
```